Te2MoIr, relaxed, DFT PBE; space-group type = No. 12; size of the total moment = 0.00 Bohr magnetons per cell; raw total energy = -6.076 eV/atom; crystal system = monoclinic; N(E_F) = 0.7242 states/eV/atom; energy above the lowest structure with this stoichiometry = 0.2612 eV per atom
1.0
-4.356 0.519 -1.347
-4.030 -2.113 0.599
-2.077 2.929 4.310
Te Mo Ir
2 1 1
direct
0.512 0.512 0.491
0.988 0.988 0.009
0.250 0.250 0.250
0.750 0.750 0.750



TeMoIr2, relaxed, DFT PBE; space-group type = No. 8; size of the total moment = 0.00 Bohr magnetons per cell; raw total energy = -7.615 eV/atom; crystal system = monoclinic; N(E_F) = 0.8796 states/eV/atom; energy above the lowest structure with this stoichiometry = 0.1251 eV per atom
1.0
-0.799 0.467 -4.695
-1.636 -2.268 -3.884
-4.851 1.518 0.109
Mo Ir Te
1 2 1
direct
0.491 0.491 0.543
0.006 0.006 0.983
0.753 0.753 0.736
0.250 0.250 0.238



Te2MoIr, relaxed, DFT PBE; space-group type = No. 44; size of the total moment = 0.00 Bohr magnetons per cell; raw total energy = -6.134 eV/atom; crystal system = orthorhombic; N(E_F) = 0.9058 states/eV/atom; energy above the lowest structure with this stoichiometry = 0.2039 eV per atom
1.0
7.174 0.026 -0.003
5.258 4.881 0.003
-6.144 -2.637 2.602
Te Mo Ir
2 1 1
direct
0.722 0.222 0.500
0.974 0.974 0.000
0.321 0.821 0.500
0.484 0.484 0.000



TeMo2Ir, relaxed, DFT PBE; space-group type = No. 119; size of the total moment = 0.43 Bohr magnetons per cell; raw total energy = -8.021 eV/atom; crystal system = tetragonal; N(E_F) = 1.3483 states/eV/atom; energy above the lowest structure with this stoichiometry = 0.1433 eV per atom
1.0
4.998 -0.003 0.000
1.752 4.681 0.000
-3.375 -2.339 2.849
Ir Mo Te
1 2 1
direct
0.750 0.250 0.500
0.000 0.000 0.000
0.250 0.750 0.500
0.500 0.500 0.000



Te2MoIr, relaxed, DFT PBE; space-group type = No. 119; size of the total moment = 1.51 Bohr magnetons per cell; raw total energy = -5.853 eV/atom; crystal system = tetragonal; N(E_F) = 0.6944 states/eV/atom; energy above the lowest structure with this stoichiometry = 0.4847 eV per atom
1.0
-0.393 3.744 4.152
1.767 -1.425 5.124
1.911 -0.191 -5.265
Te Ir Mo
2 1 1
direct
0.250 0.750 0.500
0.000 0.000 0.000
0.500 0.500 0.000
0.750 0.250 0.500



TeMoIr2, relaxed, DFT PBE; space-group type = No. 166; size of the total moment = 0.00 Bohr magnetons per cell; raw total energy = -7.608 eV/atom; crystal system = trigonal; N(E_F) = 0.5445 states/eV/atom; energy above the lowest structure with this stoichiometry = 0.1319 eV per atom
1.0
-1.015 6.059 -7.068
-2.801 3.933 -8.024
-3.801 5.957 -6.145
Mo Ir Te
1 2 1
direct
0.750 0.750 0.750
0.007 0.007 0.007
0.493 0.493 0.493
0.250 0.250 0.250



TeMoIr2, relaxed, DFT PBE; space-group type = No. 122; size of the total moment = 0.00 Bohr magnetons per cell; raw total energy = -7.330 eV/atom; crystal system = tetragonal; N(E_F) = 0.9346 states/eV/atom; energy above the lowest structure with this stoichiometry = 0.4104 eV per atom
1.0
5.965 0.000 0.000
0.000 5.965 0.000
2.983 2.983 5.432
Te Ir Mo
2 4 2
direct
0.000 0.000 0.000
0.750 0.250 0.500
0.603 0.125 0.250
0.147 0.625 0.250
0.875 0.853 0.750
0.375 0.397 0.750
0.500 0.500 0.000
0.250 0.750 0.500



Te2MoIr, relaxed, DFT PBE; space-group type = No. 166; size of the total moment = 0.00 Bohr magnetons per cell; raw total energy = -6.088 eV/atom; crystal system = trigonal; N(E_F) = 0.7428 states/eV/atom; energy above the lowest structure with this stoichiometry = 0.2494 eV per atom
1.0
-3.053 7.540 -1.903
-5.483 6.303 0.004
-2.829 7.733 1.412
Mo Ir Te
1 1 2
direct
0.750 0.750 0.750
0.250 0.250 0.250
0.001 0.001 0.001
0.499 0.499 0.499



TeMo3Ir, relaxed, DFT PBE; space-group type = No. 221; size of the total moment = 1.62 Bohr magnetons per cell; raw total energy = -7.448 eV/atom; crystal system = cubic; N(E_F) = 1.2531 states/eV/atom; energy above the lowest structure with this stoichiometry = 0.0000 eV per atom
1.0
4.810 0.000 0.000
0.000 4.810 0.000
0.000 0.000 4.810
Mo Te Ir
3 1 1
direct
0.000 0.000 0.500
0.500 0.000 0.000
0.000 0.500 0.000
0.500 0.500 0.500
0.000 0.000 0.000



TeMo2Ir, relaxed, DFT PBE; space-group type = No. 160; size of the total moment = 0.00 Bohr magnetons per cell; raw total energy = -8.013 eV/atom; crystal system = trigonal; N(E_F) = 0.4306 states/eV/atom; energy above the lowest structure with this stoichiometry = 0.1513 eV per atom
1.0
-8.824 -0.291 0.534
-8.090 -1.294 3.333
-8.223 1.714 2.771
Mo Ir Te
2 1 1
direct
0.999 0.999 0.999
0.255 0.255 0.255
0.744 0.744 0.744
0.502 0.502 0.502



Te2MoIr, relaxed, DFT PBE; space-group type = No. 166; size of the total moment = 2.80 Bohr magnetons per cell; raw total energy = -5.763 eV/atom; crystal system = trigonal; N(E_F) = 0.5824 states/eV/atom; energy above the lowest structure with this stoichiometry = 0.5740 eV per atom
1.0
8.165 -0.179 2.927
8.614 -0.663 -0.794
8.183 2.814 0.621
Te Mo Ir
2 1 1
direct
0.107 0.107 0.107
0.893 0.893 0.893
0.000 0.000 0.000
0.500 0.500 0.500



Ti2TeMoIr, relaxed, DFT PBE; space-group type = No. 123; size of the total moment = 0.00 Bohr magnetons per cell; raw total energy = -7.241 eV/atom; crystal system = tetragonal; N(E_F) = 1.5061 states/eV/atom
1.0
4.768 0.000 0.000
0.000 4.844 0.000
0.000 0.000 4.768
Ti Te Ir Mo
2 1 1 1
direct
0.000 0.000 0.500
0.500 0.000 0.000
0.500 0.500 0.500
0.000 0.000 0.000
0.000 0.500 0.000